# 1
## TmPbF5 (PBE-GGA)

Data for a relaxed structure of TmPbF5.

Results
E_form (uncorrected): -3.4154 eV/atom
Symmetry: C2/c
Crystal system: monoclinic
E: -82.9 eV/cell

abc: 8.2307 8.2307 5.7972
angles: 90.87 90.87 149.66
Closest atoms and distances in Å follow each position.
Atoms (fractional coordinates):
Tm1 0.0738 0.9262 0.7500  8 F 2.22-2.27
Tm2 0.9262 0.0738 0.2500  8 F 2.22-2.27
Pb1 0.3248 0.6752 0.7500  8 F 2.60-2.66
Pb2 0.6752 0.3248 0.2500  8 F 2.60-2.66
F1 0.1757 0.8024 0.9907  1 Tm 2.27
F2 0.1897 0.2634 0.5972  2 Tm 2.22-2.26
F3 0.1976 0.8243 0.5093  1 Tm 2.27
F4 0.2634 0.1897 0.0972  2 Tm 2.22-2.26
F5 0.3827 0.6173 0.2500  2 Tm 2.26
F6 0.6173 0.3827 0.7500  2 Tm 2.26
F7 0.7366 0.8103 0.9028  2 Tm 2.22-2.26
F8 0.8024 0.1757 0.4907  1 Tm 2.27
F9 0.8103 0.7366 0.4028  2 Tm 2.22-2.26
F10 0.8243 0.1976 0.0093  1 Tm 2.27



# 2
## TmPb3F8 (PBE-GGA)

Data for a relaxed structure of TmPb3F8.

Results
E_form (uncorrected): -2.7659 eV/atom
Symmetry: Pm-3m
Crystal system: cubic
E: -63.8 eV/cell

abc: 5.8931 5.8931 5.8931
angles: 90.00 90.00 90.00
Closest atoms and distances in Å follow each position.
Atoms (fractional coordinates):
Tm1 0.0000 0.0000 0.0000  8 F 2.27
Pb1 0.0000 0.5000 0.5000  8 F 2.66
Pb2 0.5000 0.0000 0.5000  8 F 2.66
Pb3 0.5000 0.5000 0.0000  8 F 2.66
F1 0.2222 0.2222 0.2222  1 Tm 2.27
F2 0.2222 0.2222 0.7778  1 Tm 2.27
F3 0.2222 0.7778 0.2222  1 Tm 2.27
F4 0.2222 0.7778 0.7778  1 Tm 2.27
F5 0.7778 0.2222 0.2222  1 Tm 2.27
F6 0.7778 0.2222 0.7778  1 Tm 2.27
F7 0.7778 0.7778 0.2222  1 Tm 2.27
F8 0.7778 0.7778 0.7778  1 Tm 2.27



What is the E in the second record?
-63.8 eV/cell



E of number 2 (TmPb3F8)?
-63.8 eV/cell